(1)
An optimized crystal structure of KSbTe2Pb, computed with PBE-GGA.

Calculated values
The value obtained for the uncorrected formation energy is 0.77 eV/atom. The energy relative to the lowest polymorph listed for this composition is 0.6595 eV per atom. The space group is P4/mmm.

Cell and atoms, written as CIF:
```
data_KSbTe2Pb
_cell_length_a 5.995
_cell_length_b 5.995
_cell_length_c 5.694
_cell_angle_alpha 90.00
_cell_angle_beta 90.00
_cell_angle_gamma 90.00
_space_group_name_H-M_alt 'P 1'
_space_group_IT_number 1
loop_
_space_group_symop_operation_xyz
'x,y,z'
loop_
_atom_site_label
_atom_site_type_symbol
_atom_site_fract_x
_atom_site_fract_y
_atom_site_fract_z
_atom_site_occupancy
K1 K 0.000 0.000 0.000 1
Sb1 Sb 0.000 0.000 0.500 1
Te1 Te 0.000 0.500 0.000 1
Te2 Te 0.500 0.000 0.000 1
Pb1 Pb 0.500 0.500 0.500 1
```

---

(2)
An optimized crystal structure of CaBe2Au9, computed with PBE-GGA.

Calculated values
The space group is I4_1/amd. As for the energy relative to the elements: -0.188 eV per atom.

Cell and atoms, written as CIF:
```
data_CaBe2Au9
_cell_length_a 8.615
_cell_length_b 8.615
_cell_length_c 8.615
_cell_angle_alpha 99.59
_cell_angle_beta 99.59
_cell_angle_gamma 131.83
_space_group_name_H-M_alt 'P 1'
_space_group_IT_number 1
loop_
_space_group_symop_operation_xyz
'x,y,z'
loop_
_atom_site_label
_atom_site_type_symbol
_atom_site_fract_x
_atom_site_fract_y
_atom_site_fract_z
_atom_site_occupancy
Ca1 Ca 0.375 0.625 0.750 1
Ca2 Ca 0.625 0.375 0.250 1
Be1 Be 0.000 0.000 0.000 1
Be2 Be 0.000 0.000 0.500 1
Be3 Be 0.000 0.500 0.000 1
Be4 Be 0.500 0.000 0.500 1
Au1 Au 0.113 0.553 0.314 1
Au2 Au 0.113 0.800 0.560 1
Au3 Au 0.125 0.875 0.250 1
Au4 Au 0.200 0.260 0.314 1
Au5 Au 0.200 0.887 0.940 1
Au6 Au 0.260 0.200 0.814 1
Au7 Au 0.260 0.447 0.060 1
Au8 Au 0.447 0.260 0.560 1
Au9 Au 0.447 0.887 0.186 1
Au10 Au 0.553 0.113 0.814 1
Au11 Au 0.553 0.740 0.440 1
Au12 Au 0.740 0.553 0.940 1
Au13 Au 0.740 0.800 0.186 1
Au14 Au 0.800 0.113 0.060 1
Au15 Au 0.800 0.740 0.686 1
Au16 Au 0.875 0.125 0.750 1
Au17 Au 0.887 0.200 0.440 1
Au18 Au 0.887 0.447 0.686 1
```

---

(3)
An optimized crystal structure of Rb2HRuI6, computed with PBE-GGA.

Calculated values
The energy is -2.89 eV per atom. The space group is I4/mmm.

Cell and atoms, written as CIF:
```
data_Rb2HRuI6
_cell_length_a 7.917
_cell_length_b 7.917
_cell_length_c 7.917
_cell_angle_alpha 111.79
_cell_angle_beta 111.79
_cell_angle_gamma 104.92
_space_group_name_H-M_alt 'P 1'
_space_group_IT_number 1
loop_
_space_group_symop_operation_xyz
'x,y,z'
loop_
_atom_site_label
_atom_site_type_symbol
_atom_site_fract_x
_atom_site_fract_y
_atom_site_fract_z
_atom_site_occupancy
Rb1 Rb 0.250 0.750 0.500 1
Rb2 Rb 0.750 0.250 0.500 1
H1 H 0.000 0.000 0.000 1
Ru1 Ru 0.500 0.500 0.000 1
I1 I 0.199 0.199 0.000 1
I2 I 0.285 0.285 0.571 1
I3 I 0.285 0.715 0.000 1
I4 I 0.715 0.285 0.000 1
I5 I 0.715 0.715 0.429 1
I6 I 0.801 0.801 0.000 1
```

---

(4)
An optimized crystal structure of TlAg2Pb, computed with PBE-GGA.

Calculated values
The energy relative to the lowest polymorph listed for this composition is 0.0448 eV per atom. The space group is P2/m. As for the energy relative to the elements: 0.128 eV per atom.

Cell and atoms, written as CIF:
```
data_TlAg2Pb
_cell_length_a 3.451
_cell_length_b 4.079
_cell_length_c 6.810
_cell_angle_alpha 90.00
_cell_angle_beta 91.65
_cell_angle_gamma 90.00
_space_group_name_H-M_alt 'P 1'
_space_group_IT_number 1
loop_
_space_group_symop_operation_xyz
'x,y,z'
loop_
_atom_site_label
_atom_site_type_symbol
_atom_site_fract_x
_atom_site_fract_y
_atom_site_fract_z
_atom_site_occupancy
Tl1 Tl 0.000 0.000 0.000 1
Ag1 Ag 0.500 0.500 0.245 1
Ag2 Ag 0.500 0.500 0.755 1
Pb1 Pb 0.000 0.000 0.500 1
```

---

(5)
An optimized crystal structure of Na2PmPb5, computed with PBE-GGA.

Calculated values
The space group is I4/mcm. As for the energy relative to the elements: -0.193 eV per atom.

Cell and atoms, written as CIF:
```
data_Na2PmPb5
_cell_length_a 8.859
_cell_length_b 8.859
_cell_length_c 8.859
_cell_angle_alpha 121.75
_cell_angle_beta 121.75
_cell_angle_gamma 86.99
_space_group_name_H-M_alt 'P 1'
_space_group_IT_number 1
loop_
_space_group_symop_operation_xyz
'x,y,z'
loop_
_atom_site_label
_atom_site_type_symbol
_atom_site_fract_x
_atom_site_fract_y
_atom_site_fract_z
_atom_site_occupancy
Na1 Na 0.147 0.647 0.794 1
Na2 Na 0.353 0.147 0.500 1
Na3 Na 0.647 0.853 0.500 1
Na4 Na 0.853 0.353 0.206 1
Pm1 Pm 0.250 0.250 0.000 1
Pm2 Pm 0.750 0.750 0.000 1
Pb1 Pb 0.000 0.000 0.000 1
Pb2 Pb 0.021 0.817 0.500 1
Pb3 Pb 0.183 0.683 0.204 1
Pb4 Pb 0.317 0.521 0.500 1
Pb5 Pb 0.479 0.979 0.796 1
Pb6 Pb 0.500 0.500 0.000 1
Pb7 Pb 0.521 0.021 0.204 1
Pb8 Pb 0.683 0.479 0.500 1
Pb9 Pb 0.817 0.317 0.796 1
Pb10 Pb 0.979 0.183 0.500 1
```

---

(6)
An optimized crystal structure of Y3InPt, computed with PBE-GGA.

Calculated values
The energy relative to the lowest polymorph listed for this composition is 0.0000 eV per atom. The space group is Pm-3m. As for the energy relative to the elements: -0.447 eV per atom.

Cell and atoms, written as CIF:
```
data_Y3InPt
_cell_length_a 5.414
_cell_length_b 5.414
_cell_length_c 5.414
_cell_angle_alpha 90.00
_cell_angle_beta 90.00
_cell_angle_gamma 90.00
_space_group_name_H-M_alt 'P 1'
_space_group_IT_number 1
loop_
_space_group_symop_operation_xyz
'x,y,z'
loop_
_atom_site_label
_atom_site_type_symbol
_atom_site_fract_x
_atom_site_fract_y
_atom_site_fract_z
_atom_site_occupancy
Y1 Y 0.000 0.000 0.500 1
Y2 Y 0.000 0.500 0.000 1
Y3 Y 0.500 0.000 0.000 1
In1 In 0.500 0.500 0.500 1
Pt1 Pt 0.000 0.000 0.000 1
```

---

(7)
An optimized crystal structure of SrZr2In, computed with PBE-GGA.

Calculated values
The space group is Cmmm. As for the energy relative to the elements: 0.324 eV per atom.

Cell and atoms, written as CIF:
```
data_SrZr2In
_cell_length_a 6.024
_cell_length_b 6.024
_cell_length_c 3.171
_cell_angle_alpha 90.00
_cell_angle_beta 90.00
_cell_angle_gamma 113.80
_space_group_name_H-M_alt 'P 1'
_space_group_IT_number 1
loop_
_space_group_symop_operation_xyz
'x,y,z'
loop_
_atom_site_label
_atom_site_type_symbol
_atom_site_fract_x
_atom_site_fract_y
_atom_site_fract_z
_atom_site_occupancy
Sr1 Sr 0.000 0.000 0.000 1
Zr1 Zr 0.000 0.500 0.500 1
Zr2 Zr 0.500 0.000 0.500 1
In1 In 0.500 0.500 0.000 1
```

---

(8)
An optimized crystal structure of TbPmEr3Th, computed with PBE-GGA.

Calculated values
The space group is C2/m. As for the energy relative to the elements: 0.219 eV per atom.

Cell and atoms, written as CIF:
```
data_TbPmEr3Th
_cell_length_a 10.249
_cell_length_b 10.249
_cell_length_c 6.983
_cell_angle_alpha 90.57
_cell_angle_beta 90.57
_cell_angle_gamma 31.75
_space_group_name_H-M_alt 'P 1'
_space_group_IT_number 1
loop_
_space_group_symop_operation_xyz
'x,y,z'
loop_
_atom_site_label
_atom_site_type_symbol
_atom_site_fract_x
_atom_site_fract_y
_atom_site_fract_z
_atom_site_occupancy
Tb1 Tb 0.150 0.150 0.035 1
Tb2 Tb 0.850 0.850 0.965 1
Pm1 Pm 0.146 0.146 0.460 1
Pm2 Pm 0.854 0.854 0.540 1
Er1 Er 0.023 0.023 0.754 1
Er2 Er 0.279 0.279 0.746 1
Er3 Er 0.340 0.340 0.243 1
Er4 Er 0.660 0.660 0.757 1
Er5 Er 0.721 0.721 0.254 1
Er6 Er 0.977 0.977 0.246 1
Th1 Th 0.445 0.445 0.770 1
Th2 Th 0.555 0.555 0.230 1
```